## PmSi3Rh (PBE-GGA)

Data for an optimized crystal structure of PmSi3Rh.

Values from the calculation:
distance to the lowest polymorph of the same formula: 0.70 eV per formula unit
E_form (uncorrected): -0.662 eV/atom
total energy: -6.3362 eV/atom

Cell: 5.866 5.616 5.716 Å, 90.00 90.00 90.00°
Space group Pmn2_1 (No. 31)
One atom of each set of equivalent atoms:
Pm 0.000 0.143 0.000 [2 per cell]
Si 0.000 0.953 0.517 [2 per cell]
Si 0.215 0.328 0.491 [4 per cell]
Rh 0.000 0.621 0.274 [2 per cell]



## Ba2NaSr4 (PBE-GGA)

Data for an optimized crystal structure of Ba2NaSr4.

Values from the calculation:
DFT formation energy: 26.4 meV/atom
distance to the lowest polymorph of the same formula: 0.00 eV per formula unit
total energy: -1.6724 eV/atom

Cell: 4.3069 4.3069 72.6122 Å, 90.00 90.00 120.00°
Space group R-3m (No. 166, hexagonal axes)
One atom of each set of equivalent atoms:
Ba 0.0000 0.0000 0.1922 [6 per cell]
Na 0.0000 0.0000 0.0000 [3 per cell]
Sr 0.0000 0.0000 0.0916 [6 per cell]
Sr 0.0000 0.0000 0.3773 [6 per cell]



## ZrReIr (PBE-GGA)

Data for an optimized crystal structure of ZrReIr.

Values from the calculation:
DFT formation energy: -285.3 meV/atom
distance to the lowest polymorph of the same formula: 0.00 eV per formula unit
total energy: -10.2377 eV/atom

Cell: 2.856 2.856 12.483 Å, 90.00 90.00 90.00°
Space group I4mm (No. 107)
One atom of each set of equivalent atoms:
Zr 0.000 0.000 0.000 [2 per cell]
Re 0.000 0.000 0.318 [2 per cell]
Ir 0.000 0.000 0.680 [2 per cell]



## TbPuCuS4 (PBE-GGA)

Data for an optimized crystal structure of TbPuCuS4.

Values from the calculation:
E_form (uncorrected): -1.333 eV/atom
total energy: -6.9855 eV/atom

Cell: 6.702 5.507 7.838 Å, 90.00 106.77 90.00°
Space group P2_1/m (No. 11)
One atom of each set of equivalent atoms:
Tb 0.228 0.250 0.433 [2 per cell]
Pu 0.242 0.250 0.937 [2 per cell]
Cu 0.248 0.750 0.185 [2 per cell]
S 0.070 0.750 0.392 [2 per cell]
S 0.072 0.750 0.892 [2 per cell]
S 0.483 0.514 0.741 [4 per cell]



## NdDyPu2Sb4 (PBE-GGA)

Data for an optimized crystal structure of NdDyPu2Sb4.

Values from the calculation:
E_form (uncorrected): -0.856 eV/atom
total energy: -7.6711 eV/atom

Cell: 7.671 4.449 7.702 Å, 90.00 109.47 90.00°
Space group P2/m (No. 10)
One atom of each set of equivalent atoms:
Nd 0.000 0.000 0.000 [1 per cell]
Dy 0.000 0.500 0.500 [1 per cell]
Pu 0.500 0.000 0.500 [1 per cell]
Pu 0.500 0.500 0.000 [1 per cell]
Sb 0.251 0.000 0.746 [2 per cell]
Sb 0.255 0.500 0.256 [2 per cell]



## Nd5Sm2Er2 (PBE-GGA)

Data for an optimized crystal structure of Nd5Sm2Er2.

Values from the calculation:
DFT formation energy: 12.4 meV/atom
distance to the lowest polymorph of the same formula: 0.00 eV per formula unit
total energy: -4.6991 eV/atom

Cell: 32.873 5.126 3.637 Å, 90.00 96.33 90.00°
Space group C2/m (No. 12)
One atom of each set of equivalent atoms:
Nd 0.000 0.000 0.000 [2 per cell]
Nd 0.057 0.500 0.557 [4 per cell]
Nd 0.222 0.000 0.222 [4 per cell]
Sm 0.165 0.500 0.667 [4 per cell]
Er 0.111 0.000 0.113 [4 per cell]



## P2PtClO (PBE-GGA)

Data for an optimized crystal structure of P2PtClO.

Values from the calculation:
distance to the lowest polymorph of the same formula: 0.00 eV per formula unit
E_form (uncorrected): 0.578 eV/atom
total energy: -4.1548 eV/atom

Cell: 4.853 4.853 3.861 Å, 90.00 90.00 90.00°
Space group P4/mmm (No. 123)
One atom of each set of equivalent atoms:
P 0.000 0.500 0.000 [2 per cell]
Pt 0.000 0.000 0.000 [1 per cell]
Cl 0.500 0.500 0.500 [1 per cell]
O 0.000 0.000 0.500 [1 per cell]



## ScIn2Tc (PBE-GGA)

Data for an optimized crystal structure of ScIn2Tc.

Values from the calculation:
DFT formation energy: -115.2 meV/atom
distance to the lowest polymorph of the same formula: 0.00 eV per formula unit
total energy: -5.6588 eV/atom

Cell: 4.274 4.274 8.432 Å, 90.00 90.00 90.00°
Space group I4/mmm (No. 139)
One atom of each set of equivalent atoms:
Sc 0.000 0.000 0.000 [2 per cell]
In 0.000 0.500 0.250 [4 per cell]
Tc 0.000 0.000 0.500 [2 per cell]



## IrOs3 (PBE-GGA)

Data for an optimized crystal structure of IrOs3.

Values from the calculation:
DFT formation energy: 89.4 meV/atom
total energy: -10.5481 eV/atom

Cell: 2.729 2.729 7.718 Å, 90.00 90.00 90.00°
Space group P4/mmm (No. 123)
One atom of each set of equivalent atoms:
Ir 0.000 0.000 0.000 [1 per cell]
Os 0.000 0.000 0.500 [1 per cell]
Os 0.500 0.500 0.252 [2 per cell]



## DySn5 (PBE-GGA)

Data for an optimized crystal structure of DySn5.

Values from the calculation:
DFT formation energy: -243.7 meV/atom
distance to the lowest polymorph of the same formula: 0.00 eV per formula unit
total energy: -4.3464 eV/atom

Cell: 4.299 11.045 6.689 Å, 90.00 90.00 90.00°
Space group Pmmn (No. 59, origin choice 2)
One atom of each set of equivalent atoms:
Dy 0.250 0.250 0.103 [2 per cell]
Sn 0.250 0.250 0.618 [2 per cell]
Sn 0.250 0.569 0.135 [4 per cell]
Sn 0.250 0.598 0.621 [4 per cell]



## Ca2AgBr (PBE-GGA)

Data for an optimized crystal structure of Ca2AgBr.

Values from the calculation:
distance to the lowest polymorph of the same formula: 0.69 eV per formula unit
E_form (uncorrected): -0.644 eV/atom
total energy: -2.7757 eV/atom

Cell: 7.958 7.958 8.064 Å, 90.00 90.00 90.00°
Space group I-42d (No. 122)
One atom of each set of equivalent atoms:
Ca 0.250 0.250 0.375 [8 per cell]
Ag 0.000 0.000 0.000 [4 per cell]
Br 0.000 0.000 0.500 [4 per cell]



## IrRh4Br (PBE-GGA)

Data for an optimized crystal structure of IrRh4Br.

Values from the calculation:
E_form (uncorrected): 0.902 eV/atom
total energy: -5.7547 eV/atom

Cell: 7.303 7.303 7.303 Å, 90.00 90.00 90.00°
Space group F-43m (No. 216)
One atom of each set of equivalent atoms:
Ir 0.000 0.000 0.000 [4 per cell]
Rh 0.125 0.125 0.375 [16 per cell]
Br 0.250 0.250 0.750 [4 per cell]



## In2W (PBE-GGA)

Data for an optimized crystal structure of In2W.

Values from the calculation:
DFT formation energy: 994.0 meV/atom
total energy: -5.1494 eV/atom

Cell: 4.9701 4.9701 5.7122 Å, 90.00 90.00 120.00°
Space group P6_3/mmc (No. 194)
One atom of each set of equivalent atoms:
In 0.0000 0.0000 0.0000 [2 per cell]
In 0.3333 0.6667 0.2500 [2 per cell]
W 0.3333 0.6667 0.7500 [2 per cell]



## MnVHRh2 (PBE-GGA)

Data for an optimized crystal structure of MnVHRh2.

Values from the calculation:
distance to the lowest polymorph of the same formula: 0.11 eV per formula unit
total energy: -7.4889 eV/atom

Cell: 3.851 3.851 3.842 Å, 90.00 90.00 90.00°
Space group P4/mmm (No. 123)
One atom of each set of equivalent atoms:
Mn 0.000 0.000 0.000 [1 per cell]
V 0.500 0.500 0.000 [1 per cell]
H 0.500 0.500 0.500 [1 per cell]
Rh 0.000 0.500 0.500 [2 per cell]



## GaCu3Br2F6 (PBE-GGA)

Data for an optimized crystal structure of GaCu3Br2F6.

Values from the calculation:
E_form (uncorrected): -1.450 eV/atom
total energy: -3.9409 eV/atom

Cell: 12.477 5.930 5.015 Å, 90.00 90.51 90.00°
Space group C2/m (No. 12)
One atom of each set of equivalent atoms:
Ga 0.000 0.000 0.000 [2 per cell]
Cu 0.000 0.500 0.500 [2 per cell]
Cu 0.250 0.250 0.000 [4 per cell]
Br 0.192 0.500 0.657 [4 per cell]
F 0.047 0.234 0.238 [8 per cell]
F 0.150 0.000 0.860 [4 per cell]



## YAgP2O8 (PBE-GGA)

Data for an optimized crystal structure of YAgP2O8.

Values from the calculation:
E_form (uncorrected): -2.012 eV/atom
total energy: -6.9950 eV/atom

Cell: 7.030 7.030 6.139 Å, 90.00 90.00 90.00°
Space group I-4m2 (No. 119)
One atom of each set of equivalent atoms:
Y 0.000 0.000 0.000 [2 per cell]
Ag 0.000 0.500 0.250 [2 per cell]
P 0.000 0.000 0.500 [2 per cell]
P 0.000 0.500 0.750 [2 per cell]
O 0.000 0.168 0.336 [8 per cell]
O 0.000 0.325 0.904 [8 per cell]



## PuFeReSi2 (PBE-GGA)

Data for an optimized crystal structure of PuFeReSi2.

Values from the calculation:
E_form (uncorrected): -0.396 eV/atom
total energy: -9.6139 eV/atom

Cell: 3.975 3.975 10.350 Å, 90.00 90.00 90.00°
Space group I-4m2 (No. 119)
One atom of each set of equivalent atoms:
Pu 0.000 0.000 0.000 [2 per cell]
Fe 0.000 0.500 0.750 [2 per cell]
Re 0.000 0.500 0.250 [2 per cell]
Si 0.000 0.000 0.381 [4 per cell]



## InB4Rh12 (PBE-GGA)

Data for an optimized crystal structure of InB4Rh12.

Values from the calculation:
DFT formation energy: -67.2 meV/atom
total energy: -6.9887 eV/atom

Cell: 7.728 7.728 7.728 Å, 90.00 90.00 90.00°
Space group Im-3 (No. 204)
One atom of each set of equivalent atoms:
In 0.000 0.000 0.000 [2 per cell]
B 0.250 0.250 0.250 [8 per cell]
Rh 0.000 0.318 0.170 [24 per cell]



## SbPbSe2 (PBE-GGA)

Data for an optimized crystal structure of SbPbSe2.

Values from the calculation:
E_form (uncorrected): -0.064 eV/atom
total energy: -3.7643 eV/atom

Cell: 4.215 6.513 8.163 Å, 90.00 90.00 90.00°
Space group Cmmm (No. 65)
One atom of each set of equivalent atoms:
Sb 0.000 0.000 0.000 [2 per cell]
Pb 0.000 0.000 0.500 [2 per cell]
Se 0.000 0.500 0.239 [4 per cell]



## LiSiTe2 (PBE-GGA)

Data for an optimized crystal structure of LiSiTe2.

Values from the calculation:
distance to the lowest polymorph of the same formula: 0.14 eV per formula unit
E_form (uncorrected): -0.261 eV/atom
total energy: -3.6665 eV/atom

Cell: 14.471 3.930 3.922 Å, 90.00 90.54 90.00°
Space group Cm (No. 8)
One atom of each set of equivalent atoms:
Li 0.000 0.000 0.000 [2 per cell]
Si 0.351 0.000 0.493 [2 per cell]
Te 0.025 0.500 0.500 [2 per cell]
Te 0.297 0.500 0.989 [2 per cell]



## ZnHO3 (PBE-GGA)

Data for an optimized crystal structure of ZnHO3.

Values from the calculation:
total energy: -3.0700 eV/atom

Cell: 3.834 3.834 3.834 Å, 90.00 90.00 90.00°
Space group Pm-3m (No. 221)
One atom of each set of equivalent atoms:
Zn 0.000 0.000 0.000 [1 per cell]
H 0.500 0.500 0.500 [1 per cell]
O 0.000 0.000 0.500 [3 per cell]



## Hg2IrRh (PBE-GGA)

Data for an optimized crystal structure of Hg2IrRh.

Values from the calculation:
DFT formation energy: 450.7 meV/atom
distance to the lowest polymorph of the same formula: 0.63 eV per formula unit
total energy: -3.7533 eV/atom

Cell: 2.977 4.729 5.004 Å, 90.00 90.00 90.00°
Space group Pmmm (No. 47)
One atom of each set of equivalent atoms:
Hg 0.000 0.000 0.000 [1 per cell]
Hg 0.500 0.000 0.500 [1 per cell]
Ir 0.000 0.500 0.500 [1 per cell]
Rh 0.500 0.500 0.000 [1 per cell]



## Mo2AsRhCl (PBE-GGA)

Data for an optimized crystal structure of Mo2AsRhCl.

Values from the calculation:
E_form (uncorrected): 1.374 eV/atom
total energy: -5.7284 eV/atom

Cell: 4.914 4.914 4.468 Å, 90.00 90.00 90.00°
Space group P4/mmm (No. 123)
One atom of each set of equivalent atoms:
Mo 0.000 0.500 0.000 [2 per cell]
As 0.000 0.000 0.500 [1 per cell]
Rh 0.500 0.500 0.000 [1 per cell]
Cl 0.500 0.500 0.500 [1 per cell]



## Y2FeNi (PBE-GGA)

Data for an optimized crystal structure of Y2FeNi.

Values from the calculation:
DFT formation energy: -20.5 meV/atom
total energy: -6.8136 eV/atom

Cell: 3.457 4.375 10.982 Å, 90.00 90.00 90.00°
Space group Imm2 (No. 44)
One atom of each set of equivalent atoms:
Y 0.000 0.000 0.000 [2 per cell]
Y 0.000 0.500 0.223 [2 per cell]
Fe 0.000 0.500 0.794 [2 per cell]
Ni 0.000 0.000 0.438 [2 per cell]



## Ti3Be7Cu2 (PBE-GGA)

Data for an optimized crystal structure of Ti3Be7Cu2.

Values from the calculation:
DFT formation energy: -175.1 meV/atom
total energy: -5.0052 eV/atom

Cell: 4.5618 4.5618 21.9286 Å, 90.00 90.00 120.00°
Space group R-3m (No. 166, hexagonal axes)
One atom of each set of equivalent atoms:
Ti 0.0000 0.0000 0.0000 [3 per cell]
Ti 0.0000 0.0000 0.1438 [6 per cell]
Be 0.0000 0.0000 0.5000 [3 per cell]
Be 0.0032 0.5016 0.9149 [18 per cell]
Cu 0.0000 0.0000 0.3341 [6 per cell]